Record 1
A plane-wave DFT calculation with PBE-GGA was carried out for crystalline Na3Ga2Bi3 at its relaxed geometry.

Unit cell a=4.874 b=6.476 c=15.991 alpha=90.00 beta=90.00 gamma=112.11
Sites, in units of the cell vectors:
Ga 0.752 0.504 0.599
Bi 0.623 0.246 0.055
Na 0.940 0.879 0.117
Na 0.060 0.121 0.617
Bi 0.377 0.754 0.555
Na 0.691 0.382 0.250
Na 0.309 0.618 0.750
Ga 0.752 0.504 0.901
Bi 0.387 0.774 0.250
Na 0.060 0.121 0.883
Bi 0.623 0.246 0.445
Ga 0.248 0.496 0.401
Bi 0.613 0.226 0.750
Na 0.940 0.879 0.383
Bi 0.377 0.754 0.945
Ga 0.248 0.496 0.099

Summary:
Energy of formation in meV/atom: -190
VASP energy in eV per atom: -2.8971
V in Å³/atom: 29.23
Theoretical density in Mg/m³: 5.93

=====

Record 2
A plane-wave DFT calculation with PBE-GGA was carried out for crystalline BaV2Ru4 at its relaxed geometry.

Unit cell a=4.993 b=4.993 c=7.290 alpha=69.97 beta=69.97 gamma=90.00
Sites, in units of the cell vectors:
Ru 0.758 0.758 0.483
V 0.603 0.603 0.793
Ru 0.000 0.500 0.000
Ba 0.000 0.000 0.000
Ru 0.500 0.000 0.000
V 0.397 0.397 0.207
Ru 0.242 0.242 0.517

Summary:
Energy of formation in meV/atom: 1799
VASP energy in eV per atom: -6.3815
V in Å³/atom: 22.72
Theoretical density in Mg/m³: 6.72

=====

Record 3
A plane-wave DFT calculation with PBE-GGA was carried out for crystalline ZrTa2V at its relaxed geometry.

Unit cell a=4.673 b=4.673 c=4.673 alpha=60.00 beta=60.00 gamma=60.00
Sites, in units of the cell vectors:
Ta 0.250 0.250 0.250
Ta 0.750 0.750 0.750
Zr 0.500 0.500 0.500
V 0.000 0.000 0.000

Summary:
Energy above the most stable polymorph in this dataset in kcal/mol of atoms: 2.227
Energy of formation in meV/atom: 196
VASP energy in eV per atom: -10.1471
V in Å³/atom: 18.03
Theoretical density in Mg/m³: 11.60

=====

Record 4
A plane-wave DFT calculation with PBE-GGA was carried out for crystalline K2ZrNbPt at its relaxed geometry.

Unit cell a=5.698 b=5.029 c=5.698 alpha=90.00 beta=90.00 gamma=90.00
Sites, in units of the cell vectors:
K 0.500 0.000 0.000
K 0.000 0.000 0.500
Pt 0.000 0.000 0.000
Nb 0.000 0.500 0.000
Zr 0.500 0.500 0.500

Summary:
Energy of formation in meV/atom: 1372
VASP energy in eV per atom: -3.9982
V in Å³/atom: 32.66
Theoretical density in Mg/m³: 4.65

=====

Record 5
A plane-wave DFT calculation with PBE-GGA was carried out for crystalline K4La3CeO8 at its relaxed geometry.

Unit cell a=7.425 b=7.614 c=7.425 alpha=119.19 beta=120.00 gamma=90.00
Last column: magnetic moment on the atom in μB.
Sites, in units of the cell vectors:
O 0.228 0.691 0.456  -0.01
O 0.772 0.309 0.544  -0.01
O 0.730 0.690 0.460  0.00
K 0.500 0.000 0.000  0.00
O 0.735 0.691 0.963  -0.01
Ce 0.000 0.500 0.000  0.89
K 0.000 0.000 0.000  0.00
O 0.265 0.309 0.037  -0.01
K 0.000 0.000 0.500  0.00
La 0.000 0.500 0.500  0.01
La 0.500 0.500 0.500  0.01
O 0.270 0.310 0.540  0.00
La 0.500 0.500 0.000  0.01
K 0.500 0.000 0.500  0.00
O 0.228 0.691 0.963  -0.01
O 0.772 0.309 0.037  -0.01

Summary:
VASP energy in eV per atom: -6.6916
Uncorrected formation energy in eV per atom: -2.643
V in Å³/atom: 18.77
Theoretical density in Mg/m³: 4.65

=====

Record 6
A plane-wave DFT calculation with PBE-GGA was carried out for crystalline Sr2ErSnO6 at its relaxed geometry.

Unit cell a=5.895 b=5.990 c=8.376 alpha=90.00 beta=90.10 gamma=90.00
Last column: magnetic moment on the atom in μB.
Sites, in units of the cell vectors:
O 0.219 0.205 0.457  0.14
O 0.202 0.221 0.047  0.16
O 0.798 0.779 0.953  0.16
Sn 0.500 0.000 0.500  -0.01
O 0.585 0.028 0.259  0.16
O 0.281 0.705 0.043  0.14
O 0.085 0.472 0.759  0.16
Sr 0.511 0.540 0.750  0.00
Er 0.000 0.500 0.500  -0.01
O 0.915 0.528 0.241  0.16
O 0.719 0.295 0.957  0.14
O 0.415 0.972 0.741  0.16
O 0.781 0.795 0.543  0.14
O 0.702 0.279 0.547  0.16
O 0.298 0.721 0.453  0.16
Er 0.500 0.000 0.000  -0.01
Sn 0.000 0.500 0.000  -0.01
Sr 0.989 0.040 0.750  0.00
Sr 0.011 0.960 0.250  0.00
Sr 0.489 0.460 0.250  0.00

Summary:
VASP energy in eV per atom: -6.6963
Uncorrected formation energy in eV per atom: -2.528
V in Å³/atom: 14.79
Theoretical density in Mg/m³: 6.26